1.
The following is a DFT calculation (PBE-GGA) of an optimized crystal structure of TcOs3.

Output
Energy above the most stable polymorph in this dataset   7 kJ/mol of formula units
ΔH_f (0 K)   -0.057 eV per atom
Density   19.379 g cm⁻³

Cell: 2.7515 8.7230 4.7746 Å, 90.00 90.00 90.00°
Space group Imm2 (No. 44)
Inequivalent atoms, fractional coordinates:
Tc1 0.0000 0.0000 0.0000
Os1 0.0000 0.2492 0.6671
Os2 0.0000 0.5000 0.9985

2.
The following is a DFT calculation (PBE-GGA) of an optimized crystal structure of ErPuAlPb.

Output
ΔH_f (0 K)   -0.174 eV per atom
Density   10.377 g cm⁻³

Cell: 7.4478 7.4478 7.4478 Å, 90.00 90.00 90.00°
Space group F-43m (No. 216)
Inequivalent atoms, fractional coordinates:
Er1 0.0000 0.0000 0.0000
Pu1 0.0000 0.0000 0.5000
Al1 0.2500 0.2500 0.2500
Pb1 0.2500 0.2500 0.7500

3.
The following is a DFT calculation (PBE-GGA) of an optimized crystal structure of TiAg2Br6.

Output
Density   3.268 g cm⁻³
ΔE_f (raw)   -0.78 eV/atom

Cell: 19.6311 12.9155 6.2529 Å, 90.00 107.73 90.00°
Space group C2/c (No. 15)
Inequivalent atoms, fractional coordinates:
Ti1 0.0000 0.2367 0.2500
Ag1 0.2401 0.4987 0.4990
Br1 0.0688 0.3417 0.0913
Br2 0.0745 0.1314 0.5283
Br3 0.2403 0.3493 0.7524

4.
The following is a DFT calculation (PBE-GGA) of an optimized crystal structure of Ac2PrNdAs4.

Output
ΔH_f (0 K)   -1.480 eV per atom
Density   7.053 g cm⁻³

Cell: 7.6513 4.4205 7.6668 Å, 90.00 109.40 90.00°
Space group P2/m (No. 10)
Inequivalent atoms, fractional coordinates:
Ac1 0.0000 0.0000 0.0000
Ac2 0.5000 0.5000 0.0000
Pr1 0.0000 0.5000 0.5000
Nd1 0.5000 0.0000 0.5000
As1 0.2468 0.0000 0.7375
As2 0.2552 0.5000 0.2631

5.
The following is a DFT calculation (PBE-GGA) of an optimized crystal structure of NaZnHg3.

Output
Energy above the most stable polymorph in this dataset   26 kJ/mol of formula units
ΔH_f (0 K)   -0.006 eV per atom
Density   7.794 g cm⁻³

Cell: 5.2782 5.2782 5.2782 Å, 90.00 90.00 90.00°
Space group Pm-3m (No. 221)
Inequivalent atoms, fractional coordinates:
Na1 0.0000 0.0000 0.0000
Zn1 0.5000 0.5000 0.5000
Hg1 0.0000 0.5000 0.5000

6.
The following is a DFT calculation (PBE-GGA) of an optimized crystal structure of SmScI5.

Output
Density   4.751 g cm⁻³
ΔE_f (raw)   -1.23 eV/atom

Cell: 9.5010 4.1205 14.9364 Å, 90.00 97.23 90.00°
Space group P2_1/m (No. 11)
Inequivalent atoms, fractional coordinates:
Sm1 0.0952 0.2500 0.1610
Sc1 0.3975 0.7500 0.3552
I1 0.1229 0.2500 0.7855
I2 0.1726 0.2500 0.3754
I3 0.1808 0.7500 0.0180
I4 0.3829 0.7500 0.5686
I5 0.4316 0.2500 0.2051

7.
The following is a DFT calculation (PBE-GGA) of an optimized crystal structure of BeZnNi6.

Output
Energy above the most stable polymorph in this dataset   6 kJ/mol of formula units
ΔH_f (0 K)   -0.127 eV per atom
Density   8.202 g cm⁻³

Cell: 6.9759 9.9505 9.9533 Å, 90.00 90.00 90.00°
Space group Cmmm (No. 65)
Inequivalent atoms, fractional coordinates:
Be1 0.0000 0.0000 0.2463
Be2 0.0000 0.2529 0.0000
Zn1 0.0000 0.2542 0.5000
Zn2 0.0000 0.5000 0.2481
Ni1 0.0000 0.0000 0.0000
Ni2 0.0000 0.0000 0.5000
Ni3 0.0000 0.2482 0.2415
Ni4 0.0000 0.5000 0.0000
Ni5 0.0000 0.5000 0.5000
Ni6 0.2416 0.1232 0.3700
Ni7 0.2437 0.1266 0.1208

8.
The following is a DFT calculation (PBE-GGA) of an optimized crystal structure of LiCeSi2Ni.

Output
Density   5.387 g cm⁻³
ΔE_f (raw)   -0.63 eV/atom

Cell: 4.0672 4.0672 9.7618 Å, 90.00 90.00 90.00°
Space group I-4m2 (No. 119)
Inequivalent atoms, fractional coordinates:
Li1 0.0000 0.0000 0.0000
Ce1 0.0000 0.5000 0.7500
Si1 0.0000 0.5000 0.1284
Ni1 0.0000 0.0000 0.5000

9.
The following is a DFT calculation (PBE-GGA) of an optimized crystal structure of CaIr2.

Output
ΔH_f (0 K)   -0.016 eV per atom
Density   13.122 g cm⁻³

Cell: 4.5666 4.5666 2.9744 Å, 90.00 90.00 120.00°
Space group P6/mmm (No. 191)
Inequivalent atoms, fractional coordinates:
Ca1 0.0000 0.0000 0.0000
Ir1 0.3333 0.6667 0.5000

10.
The following is a DFT calculation (PBE-GGA) of an optimized crystal structure of KLiH2.

Output
Energy above the most stable polymorph in this dataset   4 kJ/mol of formula units
Density   1.409 g cm⁻³

Cell: 5.8546 3.8606 10.0233 Å, 90.00 90.00 90.00°
Space group Pnma (No. 62)
Inequivalent atoms, fractional coordinates:
K1 0.1203 0.2500 0.1391
Li1 0.0714 0.7500 0.3886
H1 0.1395 0.2500 0.7590
H2 0.1474 0.2500 0.4493

11.
The following is a DFT calculation (PBE-GGA) of an optimized crystal structure of P2IrPb.

Output
ΔH_f (0 K)   0.154 eV per atom
Density   10.219 g cm⁻³

Cell: 3.2058 3.2058 7.2945 Å, 90.00 90.00 90.00°
Space group P4/mmm (No. 123)
Inequivalent atoms, fractional coordinates:
P1 0.0000 0.0000 0.1675
Ir1 0.5000 0.5000 0.0000
Pb1 0.5000 0.5000 0.5000

12.
The following is a DFT calculation (PBE-GGA) of an optimized crystal structure of Mg3H6Rh.

Output
Density   3.270 g cm⁻³
Energy   -3.44 eV per atom

Cell: 8.4923 9.3436 4.6554 Å, 90.00 90.00 90.00°
Space group Cmc2_1 (No. 36)
Inequivalent atoms, fractional coordinates:
Mg1 0.0000 0.1083 0.0000
Mg2 0.2003 0.3925 0.9173
H1 0.0000 0.2664 0.7380
H2 0.0000 0.4899 0.1465
H3 0.1454 0.0153 0.7092
H4 0.1514 0.2565 0.2443
Rh1 0.0000 0.3509 0.4122